A relaxed Sr2H4Rh crystal. Source: Alexandria via LeMat-Bulk, functional PBE.

a b c (Å): 5.3463 5.3463 7.5395
angles (deg): 90.00 90.00 90.00
Space group I4/mmm (No. 139)
Inequivalent atoms, fractional coordinates:
1 Sr 0.0000 0.5000 0.2500 x4
2 H 0.2259 0.2259 0.0000 x8
3 Rh 0.0000 0.0000 0.0000 x2

crystal system: tetragonal
D(E_F): 0.34 states/eV/atom
ΔE to the lowest computed polymorph: 0.000 eV per formula unit